# 1
{
  "formula": "Sr2ZnBiW",
  "functional": "GGA-PBE",
  "state": "optimized geometry",
  "cell": [[-1.600, -0.146, 5.810], [2.045, -4.505, 0.450], [5.256, 2.536, 1.511]],
  "species": ["Sr", "Sr", "Zn", "Bi", "W"],
  "fractional_positions": [[0.000, 0.000, 0.500], [0.500, 0.000, 0.000], [0.000, 0.500, 0.000], [0.500, 0.500, 0.500], [0.000, 0.000, 0.000]],
  "formation_enthalpy_0k_mev_per_atom": 827,
  "dft_energy_ev_per_atom": -3.47
}

=====

# 2
{
  "formula": "CsReNi",
  "functional": "GGA-PBE",
  "state": "optimized geometry",
  "cell": [[3.907, 0.000, 0.000], [0.000, 3.907, 0.000], [0.000, 0.000, 12.546]],
  "species": ["Cs", "Cs", "Re", "Re", "Ni", "Ni"],
  "fractional_positions": [[0.000, 0.500, 0.215], [0.500, 0.000, 0.785], [0.000, 0.000, 0.500], [0.500, 0.500, 0.500], [0.000, 0.500, 0.617], [0.500, 0.000, 0.383]],
  "polymorph_energy_ev_per_atom": 0.000,
  "formation_enthalpy_0k_mev_per_atom": 699,
  "dft_energy_ev_per_atom": -5.66
}

=====

# 3
{
  "formula": "Ac6Ni2I3Cl",
  "functional": "GGA-PBE",
  "state": "optimized geometry",
  "cell": [[-5.208, 5.483, 1.389], [0.414, -6.163, 4.578], [7.130, 4.242, 2.921]],
  "species": ["Ac", "Ac", "Ac", "Ac", "Ac", "Ac", "Ni", "Ni", "I", "I", "I", "Cl"],
  "fractional_positions": [[0.936, 0.574, 0.810], [0.702, 0.702, 0.188], [0.064, 0.426, 0.190], [0.574, 0.936, 0.810], [0.298, 0.298, 0.812], [0.426, 0.064, 0.190], [0.333, 0.667, 0.000], [0.667, 0.333, 0.000], [0.160, 0.840, 0.500], [0.840, 0.160, 0.500], [0.500, 0.500, 0.500], [0.000, 0.000, 0.000]],
  "dft_energy_ev_per_atom": -4.44
}

=====

# 4
{
  "formula": "LaLu2Zn",
  "functional": "GGA-PBE",
  "state": "optimized geometry",
  "cell": [[3.521, 0.000, 0.000], [0.000, 3.521, 0.000], [0.000, 0.000, 8.859]],
  "species": ["Zn", "Lu", "Lu", "La"],
  "fractional_positions": [[0.500, 0.500, 0.000], [0.000, 0.000, 0.806], [0.000, 0.000, 0.194], [0.500, 0.500, 0.500]],
  "polymorph_energy_ev_per_atom": 0.000,
  "formation_enthalpy_0k_mev_per_atom": -158,
  "dft_energy_ev_per_atom": -3.97
}

=====

# 5
{
  "formula": "LiTbGdRh",
  "functional": "GGA-PBE",
  "state": "optimized geometry",
  "cell": [[4.967, 0.000, 0.000], [2.484, 4.302, 0.000], [2.484, 1.434, 4.056]],
  "species": ["Rh", "Gd", "Tb", "Li"],
  "fractional_positions": [[0.500, 0.500, 0.500], [0.250, 0.250, 0.250], [0.750, 0.750, 0.750], [0.000, 0.000, 0.000]],
  "formation_enthalpy_0k_mev_per_atom": -450,
  "dft_energy_ev_per_atom": -7.44
}

=====

# 6
{
  "formula": "MgSbCl",
  "functional": "GGA-PBE",
  "state": "optimized geometry",
  "cell": [[-3.807, -2.949, 1.257], [-0.202, -1.999, 4.554], [-3.404, 1.587, 3.266]],
  "species": ["Cl", "Mg", "Sb"],
  "fractional_positions": [[0.500, 0.500, 0.500], [0.750, 0.750, 0.750], [0.000, 0.000, 0.000]],
  "polymorph_energy_ev_per_atom": 0.776,
  "dft_energy_ev_per_atom": -2.62
}

=====

# 7
{
  "formula": "Rb2Ca3TbF12",
  "functional": "GGA-PBE",
  "state": "optimized geometry",
  "cell": [[8.355, 0.173, 0.123], [4.277, 7.180, 0.123], [4.277, 2.489, 6.735]],
  "species": ["Rb", "Rb", "Ca", "Ca", "Ca", "Tb", "F", "F", "F", "F", "F", "F", "F", "F", "F", "F", "F", "F"],
  "fractional_positions": [[0.596, 0.596, 0.596], [0.404, 0.404, 0.404], [0.500, 0.000, 0.000], [0.000, 0.500, 0.000], [0.000, 0.000, 0.500], [0.000, 0.000, 0.000], [0.337, 0.337, 0.907], [0.935, 0.935, 0.316], [0.316, 0.935, 0.935], [0.907, 0.337, 0.337], [0.935, 0.316, 0.935], [0.337, 0.907, 0.337], [0.663, 0.663, 0.093], [0.065, 0.065, 0.684], [0.684, 0.065, 0.065], [0.093, 0.663, 0.663], [0.065, 0.684, 0.065], [0.663, 0.093, 0.663]],
  "dft_energy_ev_per_atom": -5.37
}

=====

# 8
{
  "formula": "Nd4InRh2",
  "functional": "GGA-PBE",
  "state": "optimized geometry",
  "cell": [[-4.441, 1.759, -0.482], [-3.800, -2.851, 0.696], [-2.822, 2.098, 9.747]],
  "species": ["Nd", "Nd", "Nd", "Nd", "In", "Rh", "Rh"],
  "fractional_positions": [[0.388, 0.388, 0.836], [0.203, 0.203, 0.392], [0.797, 0.797, 0.608], [0.612, 0.612, 0.164], [0.000, 0.000, 0.000], [0.097, 0.097, 0.708], [0.903, 0.903, 0.292]],
  "formation_enthalpy_0k_mev_per_atom": -463,
  "dft_energy_ev_per_atom": -5.68
}

=====

# 9
{
  "formula": "Tb2Nd2Y4Th",
  "functional": "GGA-PBE",
  "state": "optimized geometry",
  "cell": [[-0.903, 1.538, -3.157], [-3.321, -8.914, -1.311], [-5.958, 5.975, 4.614]],
  "species": ["Tb", "Tb", "Nd", "Nd", "Y", "Y", "Y", "Y", "Th"],
  "fractional_positions": [[0.852, 0.705, 0.336], [0.148, 0.295, 0.664], [0.336, 0.672, 0.998], [0.664, 0.328, 0.002], [0.816, 0.631, 0.666], [0.184, 0.369, 0.334], [0.518, 0.037, 0.330], [0.482, 0.963, 0.670], [0.000, 0.000, 0.000]],
  "formation_enthalpy_0k_mev_per_atom": 1,
  "dft_energy_ev_per_atom": -5.78
}

=====

# 10
{
  "formula": "MnIn2W",
  "functional": "GGA-PBE",
  "state": "optimized geometry",
  "cell": [[-1.275, 1.459, -2.153], [-2.044, -2.052, -0.004], [-4.514, 4.484, 5.713]],
  "species": ["In", "In", "Mn", "W"],
  "fractional_positions": [[0.000, 0.000, 0.012], [0.000, 0.000, 0.488], [0.500, 0.500, 0.250], [0.500, 0.500, 0.750]],
  "polymorph_energy_ev_per_atom": 0.172,
  "formation_enthalpy_0k_mev_per_atom": 494,
  "dft_energy_ev_per_atom": -6.41
}

=====

# 11
{
  "formula": "Ce3Nd4TmSe8",
  "functional": "GGA-PBE",
  "state": "optimized geometry",
  "cell": [[-3.491, -4.997, -5.768], [7.543, -1.325, -3.417], [-1.236, -1.511, 8.161]],
  "species": ["Ce", "Ce", "Ce", "Nd", "Nd", "Nd", "Nd", "Tm", "Se", "Se", "Se", "Se", "Se", "Se", "Se", "Se"],
  "fractional_positions": [[0.500, 0.500, 0.000], [0.500, 0.500, 0.500], [0.000, 0.500, 0.500], [0.500, 0.000, 0.000], [0.500, 0.000, 0.500], [0.000, 0.000, 0.000], [0.000, 0.000, 0.500], [0.000, 0.500, 0.000], [0.243, 0.741, 0.998], [0.243, 0.741, 0.486], [0.251, 0.252, 0.501], [0.755, 0.741, 0.998], [0.245, 0.259, 0.002], [0.749, 0.748, 0.499], [0.757, 0.259, 0.514], [0.757, 0.259, 0.002]],
  "dft_energy_ev_per_atom": -6.14
}

=====

# 12
{
  "formula": "Sc2IrAu",
  "functional": "GGA-PBE",
  "state": "optimized geometry",
  "cell": [[3.813, -0.048, 0.037], [1.884, 3.315, 0.037], [1.938, 1.111, 6.614]],
  "species": ["Au", "Ir", "Sc", "Sc"],
  "fractional_positions": [[0.750, 0.750, 0.750], [0.250, 0.250, 0.250], [0.989, 0.989, 0.033], [0.511, 0.511, 0.467]],
  "formation_enthalpy_0k_mev_per_atom": -611,
  "dft_energy_ev_per_atom": -6.81
}

=====

# 13
{
  "formula": "MnNi2Cl8",
  "functional": "GGA-PBE",
  "state": "optimized geometry",
  "cell": [[8.742, 0.000, 0.000], [-4.371, 4.933, -0.832], [0.000, -0.083, 7.435]],
  "species": ["Mn", "Ni", "Ni", "Cl", "Cl", "Cl", "Cl", "Cl", "Cl", "Cl", "Cl"],
  "fractional_positions": [[0.000, 0.000, 0.000], [0.865, 0.730, 0.619], [0.135, 0.270, 0.381], [0.954, 0.271, 0.156], [0.317, 0.271, 0.156], [0.046, 0.729, 0.844], [0.356, 0.711, 0.473], [0.683, 0.729, 0.844], [0.895, 0.789, 0.319], [0.105, 0.211, 0.681], [0.644, 0.289, 0.527]],
  "dft_energy_ev_per_atom": -3.78
}

=====

# 14
{
  "formula": "MgCdNi",
  "functional": "GGA-PBE",
  "state": "optimized geometry",
  "cell": [[4.313, 0.000, 0.000], [2.157, 3.735, 0.000], [2.157, 1.245, 7.275]],
  "species": ["Ni", "Ni", "Mg", "Mg", "Cd", "Cd"],
  "fractional_positions": [[0.000, 0.000, 0.000], [0.500, 0.500, 0.500], [0.377, 0.377, 0.868], [0.623, 0.623, 0.132], [0.123, 0.123, 0.632], [0.877, 0.877, 0.368]],
  "polymorph_energy_ev_per_atom": 0.171,
  "formation_enthalpy_0k_mev_per_atom": 61,
  "dft_energy_ev_per_atom": -2.70
}

=====

# 15
{
  "formula": "Tl5Hg2Sb2",
  "functional": "GGA-PBE",
  "state": "optimized geometry",
  "cell": [[7.347, 0.000, 0.000], [0.000, 7.387, 0.000], [-3.674, -3.694, 10.507]],
  "species": ["Tl", "Tl", "Tl", "Tl", "Tl", "Tl", "Tl", "Tl", "Tl", "Tl", "Hg", "Hg", "Hg", "Hg", "Sb", "Sb", "Sb", "Sb"],
  "fractional_positions": [[0.218, 0.642, 0.802], [0.782, 0.840, 0.198], [0.084, 0.142, 0.802], [0.916, 0.340, 0.198], [0.327, 0.985, 0.321], [0.673, 0.664, 0.679], [0.494, 0.485, 0.321], [0.506, 0.164, 0.679], [0.154, 0.797, 0.500], [0.846, 0.297, 0.500], [0.179, 0.588, 0.107], [0.821, 0.481, 0.893], [0.428, 0.088, 0.107], [0.572, 0.981, 0.893], [0.000, 0.960, 0.000], [0.500, 0.460, 0.000], [0.264, 0.379, 0.500], [0.736, 0.879, 0.500]],
  "polymorph_energy_ev_per_atom": 0.015,
  "dft_energy_ev_per_atom": -2.28
}